Density functional theory data (PBE-GGA) for Nd2TmSc after structural relaxation.

Output
Space group: P4/mmm (123)
Energy relative to the lowest polymorph listed for this composition: 0.00 eV per formula unit
E_form: 0.04 eV per atom
Crystal system: tetragonal

```
4
Lattice="3.615 0.000 0.000 0.000 3.615 0.000 0.000 0.000 9.493" Properties=species:S:1:pos:R:3 pbc="T T T"
Nd 0.000 0.000 2.281
Nd 0.000 0.000 7.212
Tm 1.807 1.807 4.746
Sc 1.807 1.807 0.000
```

***

Density functional theory data (PBE-GGA) for NdTmSc6 after structural relaxation.

Output
Space group: P-6m2 (187)
Energy relative to the lowest polymorph listed for this composition: 0.00 eV per formula unit
E_form: 0.03 eV per atom
Crystal system: hexagonal

```
8
Lattice="6.790 0.000 0.000 -3.395 5.880 0.000 0.000 0.000 5.318" Properties=species:S:1:pos:R:3 pbc="T T T"
Nd 0.000 0.000 0.000
Tm 3.395 1.960 2.659
Sc -1.661 2.961 0.000
Sc 0.000 2.011 2.659
Sc -1.654 4.875 2.659
Sc 1.661 2.961 0.000
Sc 0.000 5.838 0.000
Sc 1.654 4.875 2.659
```

***

Density functional theory data (PBE-GGA) for Nd4Tm2Sc3 after structural relaxation.

Output
Space group: C2/m (12)
E_form: 0.05 eV per atom
Crystal system: monoclinic

```
9
Lattice="5.454 -2.501 0.000 5.454 2.501 0.000 -3.145 0.000 9.973" Properties=species:S:1:pos:R:3 pbc="T T T"
Nd -0.992 0.000 3.346
Nd 3.292 0.000 1.123
Nd 4.472 0.000 8.850
Nd 8.756 0.000 6.626
Tm 1.166 0.000 7.694
Tm 6.598 0.000 2.279
Sc 0.000 0.000 0.000
Sc 2.251 0.000 4.476
Sc 5.513 0.000 5.497
```

***

Density functional theory data (PBE-GGA) for NdTm8Sc2 after structural relaxation.

Output
Space group: C2/m (12)
Energy relative to the lowest polymorph listed for this composition: 0.00 eV per formula unit
E_form: 0.04 eV per atom
Crystal system: monoclinic

```
11
Lattice="8.839 -2.446 0.000 8.839 2.446 0.000 -2.059 0.000 7.482" Properties=species:S:1:pos:R:3 pbc="T T T"
Nd 0.000 0.000 0.000
Tm 0.723 0.000 3.437
Tm 1.366 0.000 6.814
Tm 4.700 0.000 6.053
Tm 7.433 0.000 2.050
Tm 8.187 0.000 5.432
Tm 10.920 0.000 1.429
Tm 14.254 0.000 0.668
Tm 14.897 0.000 4.046
Sc 4.050 0.000 2.733
Sc 11.570 0.000 4.750
```

***

Density functional theory data (PBE-GGA) for Nd2Tm5Sc12 after structural relaxation.

Output
Space group: C2/m (12)
E_form: 0.14 eV per atom
Crystal system: monoclinic

```
19
Lattice="7.525 -4.307 0.000 7.525 4.307 0.000 -0.262 0.000 8.059" Properties=species:S:1:pos:R:3 pbc="T T T"
Nd 7.525 2.611 0.000
Nd 7.525 -2.611 0.000
Tm 3.002 0.000 0.006
Tm 3.842 0.000 3.373
Tm 7.394 0.000 4.030
Tm 10.946 0.000 4.686
Tm 11.785 0.000 8.053
Sc 0.691 0.000 2.662
Sc 5.527 2.666 2.852
Sc 4.964 1.547 6.033
Sc 9.261 2.666 5.208
Sc 6.048 0.000 0.954
Sc 9.824 1.547 2.026
Sc 4.964 -1.547 6.033
Sc 8.739 0.000 7.105
Sc 5.527 -2.666 2.852
Sc 9.824 -1.547 2.026
Sc 9.261 -2.666 5.208
Sc 14.097 0.000 5.397
```

***

Density functional theory data (PBE-GGA) for Nd3TmSc6 after structural relaxation.

Output
Space group: Cmc2_1 (36)
E_form: 0.13 eV per atom
Crystal system: orthorhombic

```
20
Lattice="5.185 -9.024 0.000 5.185 9.024 0.000 0.000 0.000 6.065" Properties=species:S:1:pos:R:3 pbc="T T T"
Nd 5.185 8.243 3.033
Nd 3.462 0.877 0.994
Nd 3.462 -0.877 4.027
Nd 6.908 0.877 0.994
Nd 6.908 -0.877 4.027
Nd 5.185 -8.243 0.000
Tm 5.185 5.320 4.779
Tm 5.185 -5.320 1.746
Sc 2.629 3.872 5.991
Sc 1.911 2.125 3.582
Sc 5.185 4.063 1.706
Sc 1.911 -2.125 0.549
Sc 5.185 2.155 4.249
Sc 2.629 -3.872 2.959
Sc 7.740 3.872 5.991
Sc 5.185 -2.155 1.216
Sc 8.459 2.125 3.582
Sc 5.185 -4.063 4.739
Sc 8.459 -2.125 0.549
Sc 7.740 -3.872 2.959
```

***

Density functional theory data (PBE-GGA) for NdTm7Sc2 after structural relaxation.

Output
Space group: Cmmm (65)
E_form: 0.68 eV per atom
Crystal system: orthorhombic

```
10
Lattice="4.343 -7.518 0.000 4.343 7.518 0.000 0.000 0.000 5.541" Properties=species:S:1:pos:R:3 pbc="T T T"
Nd 0.000 0.000 0.000
Tm 1.567 1.828 2.771
Tm 4.343 3.935 0.000
Tm 1.567 -1.828 2.771
Tm 4.343 0.000 2.771
Tm 7.120 1.828 2.771
Tm 4.343 -3.935 0.000
Tm 7.120 -1.828 2.771
Sc 4.343 3.064 2.771
Sc 4.343 -3.064 2.771
```

***

Density functional theory data (PBE-GGA) for Nd5TmSc4 after structural relaxation.

Output
Space group: I4 (79)
Energy relative to the lowest polymorph listed for this composition: 2.83 eV per formula unit
E_form: 0.33 eV per atom
Crystal system: tetragonal

```
10
Lattice="-4.987 4.987 3.101 4.987 -4.987 3.101 4.987 4.987 -3.101" Properties=species:S:1:pos:R:3 pbc="T T T"
Nd 0.000 0.000 0.000
Nd 3.496 2.497 1.428
Nd 2.490 -1.491 4.528
Nd 2.497 6.478 1.428
Nd 1.491 2.490 4.528
Tm 0.000 0.000 2.873
Sc 3.589 -0.572 1.446
Sc 6.384 0.572 1.446
Sc 0.572 3.589 1.446
Sc -0.572 6.384 1.446
```